Record 1
A relaxed Rb2SiGeBr6 crystal, computed with PBE-GGA.

a b c (Å): 7.776 7.776 7.776
angles (deg): 60.00 60.00 60.00
Sites, in units of the cell vectors:
Rb: 0.250 0.250 0.250
Rb: 0.750 0.750 0.750
Si: 0.000 0.000 0.000
Ge: 0.500 0.500 0.500
Br: 0.246 0.246 0.754
Br: 0.246 0.754 0.246
Br: 0.246 0.754 0.754
Br: 0.754 0.246 0.246
Br: 0.754 0.246 0.754
Br: 0.754 0.754 0.246

Computed properties:
Crystal system: cubic
Formation energy without anion corrections in kJ per mole of atoms: -94.7
Size of the total moment in μB/f.u.: 0.0
Calculated volume in Å³ per atom: 33.25


Record 2
A relaxed RbSiGeBr2 crystal, computed with PBE-GGA.

a b c (Å): 5.335 5.335 6.874
angles (deg): 90.00 90.00 90.00
Sites, in units of the cell vectors:
Rb: 0.000 0.000 0.000
Si: 0.000 0.000 0.500
Ge: 0.500 0.500 0.000
Br: 0.000 0.500 0.500
Br: 0.500 0.000 0.500

Computed properties:
Crystal system: tetragonal
Formation energy without anion corrections in kJ per mole of atoms: 28.9
Size of the total moment in μB/f.u.: 2.8
Calculated volume in Å³ per atom: 39.13


Record 3
A relaxed RbSmGe2Br8 crystal, computed with PBE-GGA.

a b c (Å): 6.727 7.386 9.864
angles (deg): 92.98 90.60 95.63
Sites, in units of the cell vectors:
Rb: 0.000 0.000 0.000
Sm: 0.000 0.000 0.500
Ge: 0.446 0.555 0.282
Ge: 0.554 0.445 0.718
Br: 0.227 0.184 0.299
Br: 0.231 0.684 0.475
Br: 0.261 0.629 0.081
Br: 0.273 0.138 0.717
Br: 0.727 0.862 0.283
Br: 0.739 0.371 0.919
Br: 0.769 0.316 0.525
Br: 0.773 0.816 0.701

Computed properties:
Crystal system: triclinic
Formation energy without anion corrections in kJ per mole of atoms: -112.8
Size of the total moment in μB/f.u.: 0.0
Calculated volume in Å³ per atom: 40.59